No. 1
VASP calculation (PBE) on a relaxed structure of Sc2HgP.

* formation enthalpy at 0 K: -0.872 eV per atom
* magnetization: 0.0 μB per formula unit
* Fermi-level density of states: 3.3 states/eV/cell
* offset from the most stable computed form: 0.20 eV/f.u.
* density: 6.21 g/cm3

```
Sc2HgP
1.0
-3.6228 4.3905 5.3192
-6.0554 4.1397 2.6250
-5.7482 1.4491 5.0551
Sc P Hg
2 1 1
Direct
0.0666 0.0666 0.0666 Sc
0.2668 0.2668 0.2668 Sc
0.6676 0.6676 0.6676 P
0.4990 0.4990 0.4990 Hg
```

***

No. 2
VASP calculation (PBE) on a relaxed structure of Sc2HgP.

* formation enthalpy at 0 K: -0.726 eV per atom
* magnetization: 0.0 μB per formula unit
* Fermi-level density of states: 2.2 states/eV/cell
* offset from the most stable computed form: 0.78 eV/f.u.
* density: 6.60 g/cm3

```
Sc2HgP
1.0
1.9966 -5.2749 0.0000
1.9966 5.2749 0.0000
0.0000 0.0000 3.8385
Sc Hg P
2 1 1
Direct
0.0261 0.9739 0.5000 Sc
0.7368 0.2632 0.0000 Sc
0.4628 0.5372 0.0000 Hg
0.2743 0.7257 0.5000 P
```